1.
Below is a relaxed AcLaSc2 crystal, with properties calculated at the PBE level.

Cell: 11.515 11.515 11.515 Å, 18.02 18.02 18.02°
Positions (direct):
Ac: 0.000 0.000 0.000
La: 0.833 0.833 0.833
Sc: 0.248 0.248 0.248
Sc: 0.420 0.420 0.420

Output
energy relative to the lowest polymorph listed for this composition	0.32	eV per formula unit
E_form	159.9	meV/atom
SG	R3m
magnetic moment	0.00	Bohr magnetons per cell
DOS(E_F)	6.6	states/eV per cell

2.
Below is a relaxed Ac8La5Sc crystal, with properties calculated at the PBE level.

Cell: 9.104 9.104 9.104 Å, 110.54 110.54 107.35°
Positions (direct):
Ac: 0.079 0.692 0.776
Ac: 0.169 0.275 0.764
Ac: 0.308 0.084 0.387
Ac: 0.511 0.405 0.236
Ac: 0.595 0.831 0.106
Ac: 0.698 0.921 0.613
Ac: 0.725 0.489 0.894
Ac: 0.916 0.302 0.224
La: 0.232 0.626 0.203
La: 0.374 0.576 0.605
La: 0.424 0.029 0.797
La: 0.750 0.250 0.500
La: 0.971 0.768 0.395
Sc: 0.000 0.000 0.000

Output
E_form	238.7	meV/atom
SG	I-4
magnetic moment	0.00	Bohr magnetons per cell
DOS(E_F)	22.9	states/eV per cell

3.
Below is a relaxed Ac8La6Sc crystal, with properties calculated at the PBE level.

Cell: 10.654 10.654 6.350 Å, 90.00 90.00 120.00°
Positions (direct):
Ac: 0.050 0.780 0.263
Ac: 0.220 0.270 0.263
Ac: 0.270 0.050 0.737
Ac: 0.333 0.667 0.264
Ac: 0.667 0.333 0.736
Ac: 0.730 0.950 0.263
Ac: 0.780 0.730 0.737
Ac: 0.950 0.220 0.737
La: 0.092 0.615 0.755
La: 0.385 0.476 0.755
La: 0.476 0.092 0.245
La: 0.524 0.908 0.755
La: 0.615 0.524 0.245
La: 0.908 0.385 0.245
Sc: 0.000 0.000 0.000

Output
E_form	165.5	meV/atom
SG	P-3
magnetic moment	0.00	Bohr magnetons per cell
DOS(E_F)	29.5	states/eV per cell

4.
Below is a relaxed AcLaSc crystal, with properties calculated at the PBE level.

Cell: 5.785 5.785 3.599 Å, 90.00 90.00 120.00°
Positions (direct):
Ac: 0.000 0.000 0.000
La: 0.667 0.333 0.501
Sc: 0.333 0.667 0.003

Output
energy relative to the lowest polymorph listed for this composition	0.15	eV per formula unit
E_form	145.9	meV/atom
SG	P3m1
magnetic moment	0.00	Bohr magnetons per cell
DOS(E_F)	4.4	states/eV per cell

5.
Below is a relaxed Ac2LaSc crystal, with properties calculated at the PBE level.

Cell: 3.897 3.897 9.810 Å, 90.00 90.00 90.00°
Positions (direct):
Ac: 0.000 0.000 0.228
Ac: 0.000 0.000 0.772
La: 0.500 0.500 0.500
Sc: 0.500 0.500 0.000

Output
energy relative to the lowest polymorph listed for this composition	0.00	eV per formula unit
E_form	70.9	meV/atom
SG	P4/mmm
magnetic moment	0.00	Bohr magnetons per cell
DOS(E_F)	6.2	states/eV per cell

6.
Below is a relaxed Ac2LaSc crystal, with properties calculated at the PBE level.

Cell: 5.350 5.350 5.179 Å, 90.00 90.00 90.00°
Positions (direct):
Ac: 0.000 0.500 0.000
Ac: 0.500 0.000 0.000
La: 0.000 0.000 0.500
Sc: 0.500 0.500 0.500

Output
energy relative to the lowest polymorph listed for this composition	0.02	eV per formula unit
E_form	76.6	meV/atom
SG	P4/mmm
magnetic moment	0.00	Bohr magnetons per cell
DOS(E_F)	4.8	states/eV per cell

Repeat the sixth record exactly.
Below is a relaxed Ac2LaSc crystal, with properties calculated at the PBE level.

Cell: 5.350 5.350 5.179 Å, 90.00 90.00 90.00°
Positions (direct):
Ac: 0.000 0.500 0.000
Ac: 0.500 0.000 0.000
La: 0.000 0.000 0.500
Sc: 0.500 0.500 0.500

Output
energy relative to the lowest polymorph listed for this composition	0.02	eV per formula unit
E_form	76.6	meV/atom
SG	P4/mmm
magnetic moment	0.00	Bohr magnetons per cell
DOS(E_F)	4.8	states/eV per cell

Q: Among the records above, which one has the lowest E_form?
A: number 5

Q: The highest E_form belongs to which entry?
A: Ac8La5Sc

Copy entry 1 word for word.
Below is a relaxed AcLaSc2 crystal, with properties calculated at the PBE level.

Cell: 11.515 11.515 11.515 Å, 18.02 18.02 18.02°
Positions (direct):
Ac: 0.000 0.000 0.000
La: 0.833 0.833 0.833
Sc: 0.248 0.248 0.248
Sc: 0.420 0.420 0.420

Output
energy relative to the lowest polymorph listed for this composition	0.32	eV per formula unit
E_form	159.9	meV/atom
SG	R3m
magnetic moment	0.00	Bohr magnetons per cell
DOS(E_F)	6.6	states/eV per cell